The following is a PBE-GGA calculation of a relaxed KTi2I2 crystal, from Alexandria via LeMat-Bulk.

Computed properties:
size of the total moment: 1.597 Bohr magnetons per cell
space group: P4/mbm, No. 127
volume: 148 Å³/f.u.
E above lowest polymorph: 189 meV per atom
density: 4.4 g cm⁻³
formation energy without anion corrections: 0.209 eV per atom
crystal system: tetragonal

Lattice parameters (Å, degrees): 8.8776 8.8776 3.7554 90.00 90.00 90.00
Sites, in units of the cell vectors:
I: 0.1746 0.6746 0.5000
I: 0.6746 0.8254 0.5000
I: 0.8254 0.3254 0.5000
I: 0.3254 0.1746 0.5000
K: 0.0000 0.0000 0.0000
K: 0.5000 0.5000 0.0000
Ti: 0.4210 0.9210 0.0000
Ti: 0.9210 0.5790 0.0000
Ti: 0.5790 0.0790 0.0000
Ti: 0.0790 0.4210 0.0000

The following is a PBE-GGA calculation of a relaxed KTi2I2 crystal, from Alexandria via LeMat-Bulk.

Computed properties:
size of the total moment: 1.109 Bohr magnetons per cell
space group: I4/mmm, No. 139
volume: 137 Å³/f.u.
E above lowest polymorph: 0 meV per atom
density: 4.7 g cm⁻³
formation energy without anion corrections: 0.019 eV per atom
crystal system: tetragonal

Lattice parameters (Å, degrees): 5.4753 5.4753 5.9820 62.76 62.76 90.00
Sites, in units of the cell vectors:
I: 0.7500 0.2500 0.5000
I: 0.2500 0.7500 0.5000
K: 0.0000 0.0000 0.0000
Ti: 0.3926 0.3926 0.2149
Ti: 0.6074 0.6074 0.7851

The following is a PBE-GGA calculation of a relaxed K2TiI8 crystal, from Alexandria via LeMat-Bulk.

Computed properties:
size of the total moment: 0.000 Bohr magnetons per cell
space group: C2/m, No. 12
volume: 582 Å³/f.u.
density: 3.3 g cm⁻³
formation energy without anion corrections: -0.768 eV per atom
crystal system: monoclinic

Lattice parameters (Å, degrees): 6.4160 9.7439 9.7439 81.98 78.52 78.52
Sites, in units of the cell vectors:
K: 0.1167 0.2757 0.2757
K: 0.8833 0.7243 0.7243
Ti: 0.0000 0.0000 0.0000
I: 0.7860 0.0867 0.7770
I: 0.2140 0.2230 0.9133
I: 0.6833 0.1720 0.1720
I: 0.3167 0.8280 0.8280
I: 0.7860 0.7770 0.0867
I: 0.2140 0.9133 0.2230
I: 0.2548 0.4967 0.4967
I: 0.7452 0.5033 0.5033

The following is a PBE-GGA calculation of a relaxed K2TiTlI6 crystal, from Alexandria via LeMat-Bulk.

Computed properties:
size of the total moment: 1.000 Bohr magnetons per cell
space group: R3, No. 146
volume: 449 Å³/f.u.
density: 4.0 g cm⁻³
formation energy without anion corrections: -0.987 eV per atom
crystal system: trigonal

Lattice parameters (Å, degrees): 8.5179 8.5179 8.6801 60.61 60.61 60.00
Sites, in units of the cell vectors:
K: 0.5354 0.5354 0.3937
K: 0.0232 0.0232 0.9303
Ti: 0.3246 0.3246 0.0261
Tl: 0.8174 0.8174 0.5479
I: 0.5456 0.2036 0.2490
I: 0.2036 0.0018 0.2490
I: 0.0018 0.5457 0.2490
I: 0.4404 0.6532 0.7900
I: 0.6532 0.1163 0.7900
I: 0.1163 0.4405 0.7900

The following is a PBE-GGA calculation of a relaxed K2TiTlI crystal, from Alexandria via LeMat-Bulk.

Computed properties:
size of the total moment: 4.145 Bohr magnetons per cell
space group: P4/mmm, No. 123
volume: 253 Å³/f.u.
density: 3.0 g cm⁻³
formation energy without anion corrections: 0.300 eV per atom
crystal system: tetragonal

Lattice parameters (Å, degrees): 6.7674 5.5268 6.7674 90.00 90.00 90.00
Sites, in units of the cell vectors:
I: 0.5000 0.5000 0.5000
Tl: 0.0000 0.5000 0.0000
K: 0.0000 0.0000 0.5000
K: 0.5000 0.0000 0.0000
Ti: 0.0000 0.0000 0.0000

The following is a PBE-GGA calculation of a relaxed KTiTl2I6 crystal, from Alexandria via LeMat-Bulk.

Computed properties:
size of the total moment: 1.000 Bohr magnetons per cell
space group: R3, No. 146
volume: 448 Å³/f.u.
density: 4.7 g cm⁻³
formation energy without anion corrections: -0.824 eV per atom
crystal system: trigonal

Lattice parameters (Å, degrees): 8.4721 8.4720 8.7139 60.90 60.90 59.99
Sites, in units of the cell vectors:
K: 0.8192 0.8192 0.5424
Ti: 0.3262 0.3262 0.0213
Tl: 0.5280 0.5279 0.4160
Tl: 0.0166 0.0166 0.9503
I: 0.5468 0.2132 0.2421
I: 0.2132 0.9980 0.2421
I: 0.9979 0.5468 0.2420
I: 0.4287 0.6617 0.7863
I: 0.6618 0.1232 0.7864
I: 0.1232 0.4287 0.7863

The following is a PBE-GGA calculation of a relaxed K2Tl2I crystal, from Alexandria via LeMat-Bulk.

Computed properties:
size of the total moment: 0.000 Bohr magnetons per cell
space group: P4/mbm, No. 127
volume: 233 Å³/f.u.
E above lowest polymorph: 0 meV per atom
density: 4.4 g cm⁻³
formation energy without anion corrections: -0.303 eV per atom
crystal system: tetragonal

Lattice parameters (Å, degrees): 9.3039 9.3039 5.3842 90.00 90.00 90.00
Sites, in units of the cell vectors:
I: 0.0000 0.0000 0.0000
I: 0.5000 0.5000 0.0000
Tl: 0.1190 0.6190 0.5000
Tl: 0.6190 0.8810 0.5000
Tl: 0.8810 0.3810 0.5000
Tl: 0.3810 0.1190 0.5000
K: 0.3167 0.8167 0.0000
K: 0.8167 0.6833 0.0000
K: 0.6833 0.1833 0.0000
K: 0.1833 0.3167 0.0000

The following is a PBE-GGA calculation of a relaxed KTl3I4 crystal, from Alexandria via LeMat-Bulk.

Computed properties:
size of the total moment: 0.000 Bohr magnetons per cell
space group: Cmmm, No. 65
volume: 359 Å³/f.u.
density: 5.4 g cm⁻³
formation energy without anion corrections: -0.869 eV per atom
crystal system: orthorhombic

Lattice parameters (Å, degrees): 5.0314 8.7019 8.7019 109.51 90.00 90.00
Sites, in units of the cell vectors:
K: 0.5000 0.0000 0.0000
Tl: 0.0000 0.0000 0.5000
Tl: 0.5000 0.5000 0.5000
Tl: 0.0000 0.5000 0.0000
I: 0.0000 0.2499 0.2499
I: 0.5000 0.7503 0.2497
I: 0.0000 0.7501 0.7501
I: 0.5000 0.2497 0.7503

The following is a PBE-GGA calculation of a relaxed K3TlI crystal, from Alexandria via LeMat-Bulk.

Computed properties:
size of the total moment: 0.000 Bohr magnetons per cell
space group: Pm-3m, No. 221
volume: 297 Å³/f.u.
E above lowest polymorph: 0 meV per atom
density: 2.5 g cm⁻³
formation energy without anion corrections: -0.397 eV per atom
crystal system: cubic

Lattice parameters (Å, degrees): 6.6714 6.6714 6.6714 90.00 90.00 90.00
Sites, in units of the cell vectors:
I: 0.0000 0.0000 0.0000
Tl: 0.5000 0.5000 0.5000
K: 0.0000 0.5000 0.0000
K: 0.0000 0.0000 0.5000
K: 0.5000 0.0000 0.0000

The following is a PBE-GGA calculation of a relaxed KTlI3 crystal, from Alexandria via LeMat-Bulk.

Computed properties:
size of the total moment: 0.000 Bohr magnetons per cell
space group: Pm-3m, No. 221
volume: 241 Å³/f.u.
E above lowest polymorph: 42 meV per atom
density: 4.3 g cm⁻³
formation energy without anion corrections: -0.741 eV per atom
crystal system: cubic

Lattice parameters (Å, degrees): 6.2238 6.2238 6.2238 90.00 90.00 90.00
Sites, in units of the cell vectors:
I: 0.0000 0.5000 0.0000
I: 0.0000 0.0000 0.5000
I: 0.5000 0.0000 0.0000
Tl: 0.0000 0.0000 0.0000
K: 0.5000 0.5000 0.5000

The following is a PBE-GGA calculation of a relaxed K2TlI4 crystal, from Alexandria via LeMat-Bulk.

Computed properties:
size of the total moment: 0.000 Bohr magnetons per cell
space group: P2_1/m, No. 11
volume: 332 Å³/f.u.
E above lowest polymorph: 0 meV per atom
density: 4.0 g cm⁻³
formation energy without anion corrections: -0.943 eV per atom
crystal system: monoclinic

Lattice parameters (Å, degrees): 8.4978 8.6893 9.3146 90.00 105.31 90.00
Sites, in units of the cell vectors:
K: 0.7253 0.7500 0.0640
K: 0.2747 0.2500 0.9360
K: 0.3153 0.2500 0.4608
K: 0.6847 0.7500 0.5392
Tl: 0.2149 0.7500 0.1780
Tl: 0.7851 0.2500 0.8220
I: 0.4857 0.4982 0.2380
I: 0.0476 0.7500 0.8424
I: 0.9524 0.2500 0.1577
I: 0.4857 0.0018 0.2380
I: 0.9406 0.2500 0.5620
I: 0.5143 0.9982 0.7620
I: 0.5143 0.5018 0.7620
I: 0.0594 0.7500 0.4380

The following is a PBE-GGA calculation of a relaxed KTl2I crystal, from Alexandria via LeMat-Bulk.

Computed properties:
size of the total moment: 0.000 Bohr magnetons per cell
space group: I-42d, No. 122
volume: 168 Å³/f.u.
E above lowest polymorph: 0 meV per atom
density: 5.7 g cm⁻³
formation energy without anion corrections: -0.309 eV per atom
crystal system: tetragonal

Lattice parameters (Å, degrees): 9.9942 9.9942 7.8290 50.34 50.34 90.00
Sites, in units of the cell vectors:
I: 0.0000 0.0000 0.0000
I: 0.7500 0.2500 0.5000
Tl: 0.6463 0.1250 0.2500
Tl: 0.1037 0.6250 0.2500
Tl: 0.3750 0.3537 0.7500
Tl: 0.8750 0.8963 0.7500
K: 0.5000 0.5000 0.0000
K: 0.2500 0.7500 0.5000

The following is a PBE-GGA calculation of a relaxed K2TlI3 crystal, from Alexandria via LeMat-Bulk.

Computed properties:
size of the total moment: 0.000 Bohr magnetons per cell
space group: Immm, No. 71
volume: 273 Å³/f.u.
density: 4.0 g cm⁻³
formation energy without anion corrections: -1.211 eV per atom
crystal system: orthorhombic

Lattice parameters (Å, degrees): 5.0541 7.1249 8.7488 114.03 106.79 90.00
Sites, in units of the cell vectors:
K: 0.8339 0.8339 0.1677
K: 0.1661 0.1661 0.8323
Tl: 0.5000 0.5000 0.5000
I: 0.8336 0.3336 0.1672
I: 0.1664 0.6664 0.8328
I: 0.5000 0.0000 0.5000

The following is a PBE-GGA calculation of a relaxed K4TlI5 crystal, from Alexandria via LeMat-Bulk.

Computed properties:
size of the total moment: 0.000 Bohr magnetons per cell
space group: R-3m, No. 166
volume: 458 Å³/f.u.
density: 3.6 g cm⁻³
formation energy without anion corrections: -1.319 eV per atom
crystal system: trigonal

Lattice parameters (Å, degrees): 5.0537 5.0537 20.8914 83.05 83.05 60.00
Sites, in units of the cell vectors:
K: 0.8998 0.8998 0.3005
K: 0.2999 0.2999 0.1003
K: 0.7001 0.7001 0.8997
K: 0.1002 0.1002 0.6995
Tl: 0.5000 0.5000 0.5000
I: 0.4002 0.4002 0.7995
I: 0.0000 0.0000 0.0000
I: 0.5998 0.5998 0.2005
I: 0.8000 0.8000 0.5999
I: 0.2000 0.2000 0.4001

The following is a PBE-GGA calculation of a relaxed KTl6I8 crystal, from Alexandria via LeMat-Bulk.

Computed properties:
size of the total moment: 0.000 Bohr magnetons per cell
space group: P-3, No. 147
volume: 662 Å³/f.u.
density: 5.7 g cm⁻³
formation energy without anion corrections: -0.664 eV per atom
crystal system: trigonal

Lattice parameters (Å, degrees): 5.2113 12.1156 12.1156 120.00 90.00 90.00
Sites, in units of the cell vectors:
K: 0.5000 0.0000 0.0000
Tl: 0.7496 0.6552 0.1269
Tl: 0.7496 0.8731 0.5283
Tl: 0.7496 0.4717 0.3448
Tl: 0.2504 0.3448 0.8731
Tl: 0.2504 0.1269 0.4717
Tl: 0.2504 0.5283 0.6552
I: 0.7482 0.9706 0.2763
I: 0.7482 0.7237 0.6943
I: 0.7482 0.3057 0.0294
I: 0.2518 0.0294 0.7237
I: 0.2518 0.2763 0.3057
I: 0.2518 0.6943 0.9706
I: 0.7484 0.3333 0.6667
I: 0.2516 0.6667 0.3333

The following is a PBE-GGA calculation of a relaxed K5Tl3I12 crystal, from Alexandria via LeMat-Bulk.

Computed properties:
size of the total moment: 16.619 Bohr magnetons per cell
space group: Ia-3d, No. 230
volume: 1101 Å³/f.u.
density: 3.5 g cm⁻³
formation energy without anion corrections: -0.722 eV per atom
crystal system: cubic

Lattice parameters (Å, degrees): 17.8869 17.8869 17.8869 109.47 109.47 109.47
Sites, in units of the cell vectors:
Tl: 0.7500 0.3750 0.1250
Tl: 0.8750 0.7500 0.1250
Tl: 0.3750 0.7500 0.6250
Tl: 0.2500 0.1250 0.3750
Tl: 0.8750 0.1250 0.2500
Tl: 0.3750 0.6250 0.2500
Tl: 0.6250 0.3750 0.7500
Tl: 0.1250 0.8750 0.7500
Tl: 0.7500 0.8750 0.6250
Tl: 0.6250 0.2500 0.3750
Tl: 0.1250 0.2500 0.8750
Tl: 0.2500 0.6250 0.8750
K: 0.1250 0.3750 0.2500
K: 0.0000 0.5000 0.0000
K: 0.0000 0.0000 0.0000
K: 0.3750 0.2500 0.1250
K: 0.5000 0.0000 0.5000
K: 0.5000 0.5000 0.0000
K: 0.1250 0.7500 0.3750
K: 0.7500 0.1250 0.8750
K: 0.7500 0.6250 0.3750
K: 0.3750 0.1250 0.7500
K: 0.6250 0.8750 0.2500
K: 0.5000 0.5000 0.5000
K: 0.5000 0.0000 0.0000
K: 0.0000 0.0000 0.5000
K: 0.2500 0.3750 0.6250
K: 0.2500 0.8750 0.1250
K: 0.0000 0.5000 0.5000
K: 0.8750 0.2500 0.6250
K: 0.6250 0.7500 0.8750
K: 0.8750 0.6250 0.7500
I: 0.7413 0.1462 0.0668
I: 0.3254 0.5668 0.4206
I: 0.9332 0.3538 0.2587
I: 0.5668 0.2413 0.1462
I: 0.5952 0.7413 0.6746
I: 0.9332 0.5794 0.1746
I: 0.3254 0.7587 0.4048
I: 0.0794 0.9048 0.1462
I: 0.5794 0.9332 0.6746
I: 0.7413 0.5952 0.1746
I: 0.7587 0.4332 0.3538
I: 0.8254 0.9206 0.0668
I: 0.1462 0.7413 0.5668
I: 0.3538 0.4206 0.0952
I: 0.0952 0.9206 0.3538
I: 0.4048 0.1462 0.5794
I: 0.0952 0.1746 0.2413
I: 0.4332 0.6746 0.0794
I: 0.8254 0.9048 0.2587
I: 0.1462 0.4048 0.0794
I: 0.3538 0.9332 0.7587
I: 0.5794 0.6462 0.4048
I: 0.9206 0.8254 0.5668
I: 0.7587 0.3254 0.9048
I: 0.4206 0.3538 0.5952
I: 0.0794 0.1746 0.4332
I: 0.2413 0.6746 0.0952
I: 0.1746 0.0952 0.7413
I: 0.6462 0.0668 0.2413
I: 0.8538 0.5952 0.9206
I: 0.5668 0.3254 0.9206
I: 0.5952 0.8538 0.4206
I: 0.9048 0.8254 0.7587
I: 0.9048 0.0794 0.6462
I: 0.8538 0.2587 0.4332
I: 0.1746 0.0794 0.9332
I: 0.6462 0.5794 0.9048
I: 0.4206 0.0668 0.3254
I: 0.2587 0.4048 0.8254
I: 0.2413 0.5668 0.6462
I: 0.9206 0.0952 0.8538
I: 0.6746 0.2413 0.5952
I: 0.4332 0.7587 0.8538
I: 0.0668 0.4206 0.8254
I: 0.4048 0.2587 0.3254
I: 0.0668 0.6462 0.7413
I: 0.6746 0.4332 0.5794
I: 0.2587 0.8538 0.9332

The following is a PBE-GGA calculation of a relaxed K2TlI2 crystal, from Alexandria via LeMat-Bulk.

Computed properties:
size of the total moment: 0.000 Bohr magnetons per cell
space group: P4/mbm, No. 127
volume: 211 Å³/f.u.
E above lowest polymorph: 108 meV per atom
density: 4.2 g cm⁻³
formation energy without anion corrections: -0.847 eV per atom
crystal system: tetragonal

Lattice parameters (Å, degrees): 10.0855 10.0855 4.1574 90.00 90.00 90.00
Sites, in units of the cell vectors:
I: 0.1550 0.6550 0.5000
I: 0.6550 0.8450 0.5000
I: 0.8450 0.3450 0.5000
I: 0.3450 0.1550 0.5000
Tl: 0.0000 0.0000 0.0000
Tl: 0.5000 0.5000 0.0000
K: 0.3577 0.8577 0.0000
K: 0.8577 0.6423 0.0000
K: 0.6423 0.1423 0.0000
K: 0.1423 0.3577 0.0000

The following is a PBE-GGA calculation of a relaxed K2Tl2I crystal, from Alexandria via LeMat-Bulk.

Computed properties:
size of the total moment: 0.000 Bohr magnetons per cell
space group: I4/mmm, No. 139
volume: 228 Å³/f.u.
E above lowest polymorph: 196 meV per atom
density: 4.5 g cm⁻³
formation energy without anion corrections: -0.107 eV per atom
crystal system: tetragonal

Lattice parameters (Å, degrees): 5.4352 5.4352 8.6324 71.65 71.65 90.00
Sites, in units of the cell vectors:
I: 0.0000 0.0000 0.0000
Tl: 0.4074 0.4074 0.1852
Tl: 0.5926 0.5926 0.8148
K: 0.7500 0.2500 0.5000
K: 0.2500 0.7500 0.5000

The following is a PBE-GGA calculation of a relaxed K3TlI4 crystal, from Alexandria via LeMat-Bulk.

Computed properties:
size of the total moment: 0.000 Bohr magnetons per cell
space group: I4/mmm, No. 139
volume: 365 Å³/f.u.
E above lowest polymorph: 0 meV per atom
density: 3.8 g cm⁻³
formation energy without anion corrections: -1.281 eV per atom
crystal system: tetragonal

Lattice parameters (Å, degrees): 7.1380 7.1380 8.7588 114.05 114.05 89.98
Sites, in units of the cell vectors:
I: 0.0000 0.5000 0.0000
I: 0.5000 0.0000 0.0000
I: 0.2496 0.2496 0.4992
I: 0.7504 0.7504 0.5008
K: 0.5000 0.5000 0.0000
K: 0.7500 0.2500 0.5000
K: 0.2500 0.7500 0.5000
Tl: 0.0000 0.0000 0.0000

The following is a PBE-GGA calculation of a relaxed KTlI4 crystal, from Alexandria via LeMat-Bulk.

Computed properties:
size of the total moment: 0.000 Bohr magnetons per cell
space group: I4_1/a, No. 88
volume: 290 Å³/f.u.
E above lowest polymorph: 11 meV per atom
density: 4.3 g cm⁻³
formation energy without anion corrections: -0.666 eV per atom
crystal system: tetragonal

Lattice parameters (Å, degrees): 7.8658 7.8658 10.8880 111.17 111.17 90.00
Sites, in units of the cell vectors:
K: 0.0000 0.0000 0.0000
K: 0.7500 0.2500 0.5000
Tl: 0.5000 0.5000 0.0000
Tl: 0.2500 0.7500 0.5000
I: 0.0025 0.9216 0.3329
I: 0.1614 0.2525 0.8329
I: 0.6716 0.5804 0.8329
I: 0.3304 0.4114 0.3329
I: 0.4196 0.8386 0.1671
I: 0.0784 0.6696 0.6671
I: 0.5886 0.9975 0.6671
I: 0.7475 0.3284 0.1671